This record from Alexandria describes LiCr2AsW after structural relaxation. The functional is GGA-PBE.

Computed properties:
Energy of formation from the pure elements (eV/atom): 1.15
V (Å³/cell): 68.79
Size of the total moment (μB per formula unit): 3.4
Mass density (kg/m3): 8924

Lattice parameters (Å, degrees): 4.139 4.016 4.139 90.00 90.00 90.00
Fractional positions:
W  0.500  0.500  0.500
As  0.000  0.500  0.000
Li  0.000  0.000  0.000
Cr  0.500  0.000  0.000
Cr  0.000  0.000  0.500


This record from Alexandria describes MgCrAs2 after structural relaxation. The functional is GGA-PBE.

Computed properties:
Energy of formation from the pure elements (eV/atom): -0.09
V (Å³/cell): 64.80
Size of the total moment (μB per formula unit): 0.0
Mass density (kg/m3): 5795

Lattice parameters (Å, degrees): 3.101 3.101 6.739 90.00 90.00 90.00
Fractional positions:
Cr  0.500  0.500  0.250
As  0.000  0.000  0.458
As  0.000  0.000  0.042
Mg  0.500  0.500  0.750


Q: What is the energy of formation from the pure elements in the first record?
A: 1.15 eV/atom


Q: The highest energy of formation from the pure elements belongs to which entry?
A: LiCr2AsW


Q: V of number 2 (MgCrAs2)?
A: 64.80 Å³/cell


Q: Number 2 is which compound?
A: MgCrAs2